Nd5DyHo2: optimized geometry, GGA-PBE.

Values from the calculation:
- Energy relative to the elements: 0.13 eV per formula unit
- Size of the total moment: 0.00 μB/f.u.
- Calculated volume: 33.63 Å³ per atom
- Total energy: -74.9 eV for the cell shown

abc: 7.2408 14.4880 5.1289
angles: 90.00 90.00 90.00
Space group Pbam (No. 55)
Unique sites:
Nd1 0.0000 0.0000 0.0000 [2 per cell]
Nd2 0.0019 0.2512 0.0000 [4 per cell]
Nd3 0.2477 0.6241 0.5000 [4 per cell]
Dy1 0.0000 0.5000 0.0000 [2 per cell]
Ho1 0.2493 0.8760 0.5000 [4 per cell]



NdDyHo2P4: optimized geometry, GGA-PBE.

Values from the calculation:
- Energy relative to the elements: -12.69 eV per formula unit
- Size of the total moment: 0.00 μB/f.u.
- Calculated volume: 23.29 Å³ per atom
- Total energy: -52.9 eV for the cell shown

abc: 6.9925 4.0406 6.9940
angles: 90.00 109.47 90.00
Space group P2/m (No. 10)
Unique sites:
Nd1 0.0000 0.0000 0.0000 [1 per cell]
Dy1 0.0000 0.5000 0.5000 [1 per cell]
Ho1 0.5000 0.0000 0.5000 [1 per cell]
Ho2 0.5000 0.5000 0.0000 [1 per cell]
P1 0.2544 0.0000 0.7472 [2 per cell]
P2 0.2577 0.5000 0.2569 [2 per cell]